# LiAgBr

Crystalline LiAgBr at its relaxed geometry (PBE, the Alexandria database).

a b c (Å): 3.5639 3.5639 6.1026
angles (deg): 90.00 90.00 120.00
Space group P3m1 (No. 156)
Asymmetric unit:
Li  0.0000  0.0000  0.0000 x1
Ag  0.6667  0.3333  0.3811 x1
Br  0.3333  0.6667  0.7728 x1

Calculated values
**Formation energy from raw total energies**: -44 kJ/mol of atoms
**Size of the total moment**: 0.00 μB/f.u.
**Fermi-level density of states**: 0.2845 states/eV per atom
**Offset from the most stable computed form**: 0.00 eV per formula unit

=====

# Li4AgBr

Crystalline Li4AgBr at its relaxed geometry (PBE, the Alexandria database).

a b c (Å): 7.904 7.904 7.904
angles (deg): 90.00 90.00 90.00
Space group F-43m (No. 216)
Asymmetric unit:
Li  0.124  0.124  0.124 x16
Ag  0.250  0.250  0.750 x4
Br  0.000  0.000  0.500 x4

Calculated values
**Formation energy from raw total energies**: -7 kJ/mol of atoms
**Size of the total moment**: 0.71 μB/f.u.
**Fermi-level density of states**: 0.4915 states/eV per atom

=====

# LiAg2Br

Crystalline LiAg2Br at its relaxed geometry (PBE, the Alexandria database).

a b c (Å): 6.719 3.746 7.427
angles (deg): 90.00 91.21 90.00
Space group Cm (No. 8)
Asymmetric unit:
Li  0.000  0.000  0.000 x2
Ag  0.159  0.500  0.486 x2
Ag  0.327  0.000  0.266 x2
Br  0.169  0.500  0.851 x2

Calculated values
**Formation energy from raw total energies**: -31 kJ/mol of atoms
**Size of the total moment**: 0.00 μB/f.u.
**Fermi-level density of states**: 0.1374 states/eV per atom
**Offset from the most stable computed form**: 0.46 eV per formula unit

=====

# Li2AgBr4

Crystalline Li2AgBr4 at its relaxed geometry (PBE, the Alexandria database).

a b c (Å): 5.382 5.382 13.839
angles (deg): 90.00 90.00 90.00
Space group I4/mmm (No. 139)
Asymmetric unit:
Li  0.000  0.000  0.129 x4
Ag  0.000  0.000  0.500 x2
Br  0.000  0.000  0.305 x4
Br  0.000  0.500  0.000 x4

Calculated values
**Formation energy from raw total energies**: -73 kJ/mol of atoms
**Size of the total moment**: 0.00 μB/f.u.
**Fermi-level density of states**: 0.9306 states/eV per atom
**Offset from the most stable computed form**: 1.23 eV per formula unit

=====

# Li2AgBr

Crystalline Li2AgBr at its relaxed geometry (PBE, the Alexandria database).

a b c (Å): 3.652 3.652 6.538
angles (deg): 90.00 90.00 90.00
Space group P4mm (No. 99)
Asymmetric unit:
Li  0.000  0.000  0.000 x1
Li  0.500  0.500  0.304 x1
Ag  0.000  0.000  0.440 x1
Br  0.500  0.500  0.915 x1

Calculated values
**Formation energy from raw total energies**: -62 kJ/mol of atoms
**Size of the total moment**: 0.00 μB/f.u.
**Fermi-level density of states**: 0.0518 states/eV per atom
**Offset from the most stable computed form**: 0.04 eV per formula unit

=====

# LiAg3Br

Crystalline LiAg3Br at its relaxed geometry (PBE, the Alexandria database).

a b c (Å): 4.760 4.760 4.760
angles (deg): 90.00 90.00 90.00
Space group Pm-3m (No. 221)
Asymmetric unit:
Li  0.000  0.000  0.000 x1
Ag  0.000  0.000  0.500 x3
Br  0.500  0.500  0.500 x1

Calculated values
**Formation energy from raw total energies**: 38 kJ/mol of atoms
**Size of the total moment**: 0.00 μB/f.u.
**Fermi-level density of states**: 0.4722 states/eV per atom
**Offset from the most stable computed form**: 0.00 eV per formula unit

=====

# LiAgBr4

Crystalline LiAgBr4 at its relaxed geometry (PBE, the Alexandria database).

a b c (Å): 7.468 13.922 7.849
angles (deg): 90.00 117.66 90.00
Space group C2/c (No. 15)
Asymmetric unit:
Li  0.000  0.181  0.250 x4
Ag  0.000  0.317  0.750 x4
Br  0.230  0.191  0.729 x8
Br  0.237  0.442  0.744 x8

Calculated values
**Formation energy from raw total energies**: -55 kJ/mol of atoms
**Size of the total moment**: 0.00 μB/f.u.

=====

# Li2Ag2Br

Crystalline Li2Ag2Br at its relaxed geometry (PBE, the Alexandria database).

a b c (Å): 6.826 6.826 4.312
angles (deg): 90.00 90.00 90.00
Space group P4/mbm (No. 127)
Asymmetric unit:
Li  0.152  0.348  0.000 x4
Ag  0.140  0.640  0.500 x4
Br  0.000  0.000  0.000 x2

Calculated values
**Formation energy from raw total energies**: -25 kJ/mol of atoms
**Size of the total moment**: 0.00 μB/f.u.
**Fermi-level density of states**: 0.7182 states/eV per atom
**Offset from the most stable computed form**: 0.92 eV per formula unit